Entry 1:
CePu2Al2Ge2 | Alexandria via LeMat-Bulk | PBE-GGA | optimized geometry; total DFT energy (no corrections) = -7.51 eV per atom; DOS(E_F) = 12.362 states/eV/f.u.; formation energy from the elements = -0.179 eV/atom; magnetization = 6.34 μB/f.u.
1.0
4.2196 0.0000 0.0000
2.1098 3.6543 0.0000
2.1098 1.2181 9.3075
Ce Pu Al Ge
1 2 2 2
Cartesian
0.0000 0.0000 0.0000 Ce
2.1098 1.2181 4.8564 Pu
6.3294 3.6543 4.4510 Pu
4.2196 2.4362 2.5688 Al
4.2196 2.4362 6.7387 Al
6.3294 3.6543 7.5068 Ge
2.1098 1.2181 1.8007 Ge

Entry 2:
Ce2AlGeRh6 | Alexandria via LeMat-Bulk | PBE-GGA | optimized geometry; total DFT energy (no corrections) = -6.80 eV per atom; DOS(E_F) = 11.799 states/eV/f.u.; formation energy from the elements = -0.371 eV/atom; magnetization = 1.23 μB/f.u.
1.0
6.4537 -0.0001 -0.0018
-0.0001 6.4559 -0.0017
3.2255 3.2268 4.5632
Ce Al Ge Rh
2 1 1 6
Cartesian
6.4531 3.2273 2.2784 Ce
3.2260 6.4554 2.2814 Ce
0.0000 0.0000 0.0000 Al
3.2268 3.2279 -0.0017 Ge
3.2264 3.2277 2.2927 Rh
4.8502 4.8488 -0.0016 Rh
1.6048 4.8502 -0.0016 Rh
8.0743 4.8324 4.5614 Rh
4.8289 4.8338 4.5613 Rh
6.4527 6.4549 2.2670 Rh

Entry 3:
Ce2AlGe2Ru5 | Alexandria via LeMat-Bulk | PBE-GGA | optimized geometry; total DFT energy (no corrections) = -7.58 eV per atom; DOS(E_F) = 6.097 states/eV/f.u.; formation energy from the elements = -0.456 eV/atom; magnetization = 0.01 μB/f.u.
1.0
-0.5316 2.9038 1.5663
-9.7740 -0.4625 -2.4596
-1.9205 -4.9721 8.5665
Ce Al Ge Ru
4 2 4 10
Cartesian
-6.8976 -1.1656 -0.1799 Ce
-4.7969 -4.2690 6.2867 Ce
-2.3105 -1.7107 2.3876 Ce
-9.3840 -3.7239 3.7193 Ce
0.0000 0.0000 0.0000 Al
-5.8472 -2.7173 3.0534 Al
-2.4583 -3.1822 5.0655 Ge
-9.2362 -2.2524 1.0413 Ge
-7.8135 -4.6257 5.9242 Ge
-3.8810 -0.8089 0.1826 Ge
-2.3774 1.0448 0.8213 Ru
-9.8487 -3.5756 6.8518 Ru
-2.4102 -2.5366 7.4500 Ru
-7.9829 -1.0467 2.7965 Ru
-9.8159 0.0058 0.2231 Ru
-4.2431 -1.4841 4.8766 Ru
-7.1193 -2.3072 5.4266 Ru
-5.1068 -0.2236 2.2465 Ru
-5.1528 1.2207 -0.4467 Ru
-1.2260 -1.0342 5.0664 Ru

Entry 4:
Ce2Al2GeRu5 | Alexandria via LeMat-Bulk | PBE-GGA | optimized geometry; total DFT energy (no corrections) = -7.44 eV per atom; DOS(E_F) = 5.721 states/eV/f.u.; formation energy from the elements = -0.401 eV/atom; magnetization = 0.00 μB/f.u.
1.0
-2.4870 -1.9635 0.8513
4.5438 -1.9283 8.8271
-4.7822 7.8698 4.1809
Ce Al Ge Ru
4 4 2 10
Cartesian
2.2308 0.0615 6.6592 Ce
-2.4691 5.8799 6.3488 Ce
-0.7811 2.2434 2.8925 Ce
0.5427 3.6980 10.1154 Ce
-2.4215 4.6932 3.7507 Al
2.1832 1.2482 9.2573 Al
-1.3200 5.6550 9.1874 Al
1.0816 0.2864 3.8205 Al
0.0000 0.0000 0.0000 Ge
-0.1192 2.9707 6.5040 Ge
-0.6380 -0.8693 2.4539 Ru
-2.0873 4.8472 11.4053 Ru
-4.7827 5.1935 4.3294 Ru
-0.1522 1.1059 8.4290 Ru
2.0573 -1.2156 9.5298 Ru
-2.5731 2.8721 5.4302 Ru
-2.0309 3.4395 8.3234 Ru
-0.6945 0.5384 5.5358 Ru
1.0284 -1.9459 4.8392 Ru
-3.6346 2.9531 2.5161 Ru

Entry 5:
CeAlTcGe2 | Alexandria via LeMat-Bulk | PBE-GGA | optimized geometry; total DFT energy (no corrections) = -6.30 eV per atom; DOS(E_F) = 6.671 states/eV/f.u.; formation energy from the elements = -0.442 eV/atom; magnetization = 0.34 μB/f.u.
1.0
-2.0322 -2.7386 2.0982
2.7699 -2.7468 -0.9025
2.5928 4.1733 4.1379
Ce Al Tc Ge
1 1 1 2
Cartesian
0.0000 0.0000 0.0000 Ce
0.4648 -0.6540 3.4169 Al
2.8658 -0.6581 1.9166 Tc
1.0279 -2.4244 1.6516 Ge
2.3027 1.1122 3.6819 Ge

Entry 6:
CeTiAlGe2 | Alexandria via LeMat-Bulk | PBE-GGA | optimized geometry; total DFT energy (no corrections) = -5.94 eV per atom; DOS(E_F) = 6.498 states/eV/f.u.; formation energy from the elements = -0.580 eV/atom; magnetization = 0.93 μB/f.u.
1.0
4.0343 0.0000 0.0000
0.0000 4.0343 0.0000
-2.0171 -2.0171 5.9893
Ce Ti Al Ge
1 1 1 2
Cartesian
0.0000 0.0000 0.0000 Ce
0.0000 2.0171 2.9946 Ti
2.0171 0.0000 2.9946 Al
2.0171 2.0171 1.3004 Ge
0.0000 0.0000 4.6889 Ge

Entry 7:
Ce2AlVGe6 | Alexandria via LeMat-Bulk | PBE-GGA | optimized geometry; total DFT energy (no corrections) = -5.56 eV per atom; DOS(E_F) = 11.086 states/eV/f.u.; formation energy from the elements = -0.318 eV/atom; magnetization = 1.22 μB/f.u.
1.0
6.3071 0.0000 0.0000
3.1535 5.4621 0.0000
3.1535 1.8207 11.7001
Ce Al V Ge
4 2 2 12
Cartesian
9.4606 5.4621 3.9015 Ce
3.1535 1.8207 7.7986 Ce
9.4606 5.4621 10.2707 Ce
3.1535 1.8207 1.4294 Ce
6.3071 3.6414 3.3111 Al
6.3071 3.6414 8.3889 Al
0.0000 0.0000 0.0000 V
6.3071 3.6414 5.8500 V
8.2088 2.5434 4.6509 Ge
6.3071 5.8373 4.6509 Ge
4.4053 2.5434 4.6509 Ge
4.4053 4.7394 7.0491 Ge
6.3071 1.4454 7.0491 Ge
8.2088 4.7394 7.0491 Ge
7.7157 2.8281 10.2880 Ge
6.3071 5.2679 10.2880 Ge
4.8984 2.8281 10.2880 Ge
4.8984 4.4547 1.4121 Ge
6.3071 2.0148 1.4121 Ge
7.7157 4.4547 1.4121 Ge

Entry 8:
Ce2AlZn4Ge3 | Alexandria via LeMat-Bulk | PBE-GGA | optimized geometry; total DFT energy (no corrections) = -3.83 eV per atom; DOS(E_F) = 13.718 states/eV/f.u.; formation energy from the elements = -0.377 eV/atom; magnetization = 2.09 μB/f.u.
1.0
-0.0571 1.4371 -3.9659
-0.3018 -3.9575 -1.4297
-10.8184 0.6797 0.4020
Ce Al Zn Ge
2 1 4 3
Cartesian
-2.7389 0.8888 -1.8822 Ce
-8.2589 -1.4693 -0.4135 Ce
-5.5886 -0.9203 -2.4968 Al
-0.1794 -1.2602 -2.6978 Zn
0.0000 0.0000 0.0000 Zn
-6.8936 1.1499 -1.7278 Zn
-4.1042 -1.7303 -0.5679 Zn
-5.4092 0.3399 0.2010 Ge
-9.3437 1.3038 -1.6368 Ge
-1.6541 -1.8843 -0.6590 Ge

Entry 9:
CeAlH6 | Alexandria via LeMat-Bulk | PBE-GGA | optimized geometry; total DFT energy (no corrections) = -4.02 eV per atom; DOS(E_F) = 6.064 states/eV/f.u.; magnetization = 1.00 μB/f.u.
1.0
4.1286 -0.4050 0.7233
-0.3390 4.1345 0.7233
-0.1373 -0.1351 4.2128
Ce Al H
1 1 6
Cartesian
1.8261 1.7972 2.8297 Ce
0.0000 0.0000 0.0000 Al
-0.0344 2.8255 1.8149 H
2.8246 -0.0795 1.8149 H
0.8276 3.6739 3.8445 H
3.6866 0.7688 3.8445 H
1.1336 1.1157 0.6821 H
2.5186 2.4787 4.9774 H

Entry 10:
CeAl2H6 | Alexandria via LeMat-Bulk | PBE-GGA | optimized geometry; total DFT energy (no corrections) = -3.17 eV per atom; DOS(E_F) = 4.098 states/eV/f.u.; magnetization = 0.00 μB/f.u.
1.0
-2.3485 4.6092 -0.5531
-4.5480 0.9019 2.3598
-0.2374 3.2972 4.0172
Ce Al H
1 2 6
Cartesian
0.0000 0.0000 0.0000 Ce
-5.3504 6.6062 4.3679 Al
-1.7835 2.2021 1.4560 Al
-4.0841 4.3171 4.3827 H
-4.9802 4.8740 2.4428 H
-3.1505 5.8906 3.1463 H
-3.0498 4.4911 1.4412 H
-2.1537 3.9343 3.3811 H
-3.9833 2.9176 2.6776 H

Entry 11:
CeAlH2Ir | Alexandria via LeMat-Bulk | PBE-GGA | optimized geometry; total DFT energy (no corrections) = -5.71 eV per atom; DOS(E_F) = 4.916 states/eV/f.u.; magnetization = 0.82 μB/f.u.
1.0
4.3927 0.0000 0.0000
-2.1964 3.8042 0.0000
0.0000 0.0000 8.1264
Ce Al H Ir
2 2 4 2
Cartesian
0.0000 0.0000 4.0632 Ce
0.0000 0.0000 0.0000 Ce
0.0000 2.5361 6.0948 Al
2.1964 1.2681 2.0316 Al
0.0000 2.5361 0.3199 H
2.1964 1.2681 7.8065 H
2.1964 1.2681 4.3831 H
0.0000 2.5361 3.7433 H
0.0000 2.5361 2.0316 Ir
2.1964 1.2681 6.0948 Ir

Entry 12:
LiCeAl2H8 | Alexandria via LeMat-Bulk | PBE-GGA | optimized geometry; total DFT energy (no corrections) = -3.60 eV per atom; DOS(E_F) = 6.524 states/eV/f.u.; magnetization = 0.91 μB/f.u.
1.0
-3.4402 -1.1066 -2.9395
-3.4598 -2.7844 1.4061
-5.1635 3.1148 1.1793
Li Ce Al H
1 1 2 8
Cartesian
0.0000 0.0000 0.0000 Li
-6.0318 -0.3881 -0.1771 Ce
-2.7069 -0.6701 -0.2709 Al
-9.3566 -0.1060 -0.0832 Al
-3.6431 0.7724 0.2818 H
-4.1076 -1.1235 -1.2283 H
-8.4204 -1.5485 -0.6359 H
-6.0439 -2.2658 -1.5269 H
-6.0196 1.4897 1.1728 H
-4.9796 -2.3418 0.4742 H
-7.0839 1.5657 -0.8283 H
-7.9559 0.3474 0.8742 H